Here is crystalline CeZnHg at its relaxed geometry from Alexandria via LeMat-Bulk. Energies are from PBE.

a = 4.744 Å, b = 4.744 Å, c = 4.744 Å
α = 60.00°, β = 60.00°, γ = 60.00°
Atoms (fractional coordinates):
Zn  0.250  0.250  0.250
Hg  0.500  0.500  0.500
Ce  0.000  0.000  0.000

## Properties
* crystal system: cubic
* total magnetic moment: 0.2 μB per cell
* electronic total energy: -8.1 eV/cell
* mass density: 8932 kg/m3